CoAuIO2: optimized geometry, GGA+U.

a b c (Å): 3.838 3.838 6.535
angles (deg): 90.00 90.00 90.00
Site moments in Bohr magnetons follow the coordinates.
Sites, in units of the cell vectors:
1 I 0.000 0.000 0.500  0.05
2 O 0.500 0.000 0.000  0.61
3 O 0.000 0.500 0.000  0.61
4 Co 0.000 0.000 0.000  2.69
5 Au 0.500 0.500 0.500  0.01

N(E_F)	3.5	states/eV/f.u.
DFT total energy	-3.9351	eV/atom
density	7.15	g/cm3
offset from the most stable computed form	0.00	eV per formula unit